Material: Cd2InAu
Method: DFT, PBE-GGA
State: optimized geometry

Unit cell a=5.0034 b=6.3334 c=3.2626 alpha=72.97 beta=95.13 gamma=114.71
With the nearest neighbours (Å) after each atom.
Atoms (fractional coordinates):
Cd  0.0000  0.0000  0.0000  4 Cd 2.86-3.11, 2 Au 3.11, 2 In 3.11
Cd  0.5000  0.0000  0.5000  4 Cd 2.86-3.11, 2 In 3.11, 2 Au 3.11
Au  0.5000  0.5000  0.0000  4 In 2.86-3.11, 4 Cd 3.11
In  0.0000  0.5000  0.5000  4 Au 2.86-3.11, 4 Cd 3.11

Output
As for the total energy: -8.029 eV/cell. The calculated formation energy is -0.0458 eV/atom.